# 1
VASP calculation (GGA-PBE) on a relaxed structure of Pm3Er3Pd4.

Computed properties:
Magnetization   0.000 μB per atom
Energy of formation   -0.701 eV per atom
Calculated total energy   -55.7 eV per cell

abc: 4.013 7.848 7.848
angles: 88.77 90.00 90.00
Fractional positions:
Pm 0.500 0.665 0.669
Pm 0.500 0.331 0.335
Pm 0.500 0.834 0.166
Er 0.000 0.000 0.503
Er 0.500 0.168 0.832
Er 0.000 0.497 0.000
Pd 0.000 0.878 0.865
Pd 0.000 0.361 0.639
Pd 0.000 0.135 0.122
Pd 0.000 0.630 0.370



# 2
VASP calculation (GGA-PBE) on a relaxed structure of Pm2ErPd.

Computed properties:
Magnetization   0.000 μB per atom
Energy of formation   0.085 eV per atom
Energy above the most stable polymorph in this dataset   0.5192 eV/atom
Calculated total energy   -18.9 eV per cell

abc: 3.463 3.463 11.392
angles: 81.26 81.26 60.00
Fractional positions:
Pm 0.920 0.920 0.239
Pm 0.080 0.080 0.761
Pd 0.000 0.000 0.000
Er 0.500 0.500 0.500



# 3
VASP calculation (GGA-PBE) on a relaxed structure of Pm2ErPd3.

Computed properties:
Magnetization   0.000 μB per atom
Energy of formation   -0.705 eV per atom
Energy above the most stable polymorph in this dataset   0.1142 eV/atom
Calculated total energy   -67.8 eV per cell

abc: 5.958 8.557 6.775
angles: 108.20 116.09 90.00
Fractional positions:
Pm 0.696 0.584 0.352
Pm 0.656 0.084 0.352
Pm 0.304 0.416 0.648
Pm 0.344 0.916 0.648
Pd 0.115 0.076 0.280
Pd 0.371 0.750 0.000
Pd 0.835 0.424 0.720
Pd 0.885 0.924 0.720
Pd 0.629 0.250 0.000
Pd 0.165 0.576 0.280
Er 0.131 0.250 0.000
Er 0.869 0.750 0.000



What is the formula in the first record?
Pm3Er3Pd4